Computed, not measured: an optimized crystal structure of Tb4ZnRu at the PBE-GGA level of DFT.

Geometry as CIF:
```
data_Tb4ZnRu
_chemical_formula_sum 'Tb16 Zn4 Ru4'
_cell_length_a 9.521
_cell_length_b 9.521
_cell_length_c 9.521
_cell_angle_alpha 60.00
_cell_angle_beta 60.00
_cell_angle_gamma 60.00
_space_group_name_H-M_alt 'P 1'
_space_group_IT_number 1
loop_
_space_group_symop_operation_xyz
'x,y,z'
loop_
_atom_site_label
_atom_site_fract_x
_atom_site_fract_y
_atom_site_fract_z
_atom_site_occupancy
Ru1 0.611 0.611 0.611 1
Tb1 0.812 0.188 0.188 1
Ru2 0.611 0.611 0.167 1
Tb2 0.400 0.799 0.400 1
Tb3 0.812 0.188 0.812 1
Tb4 0.188 0.812 0.188 1
Zn1 0.173 0.173 0.173 1
Tb5 0.188 0.188 0.812 1
Zn2 0.173 0.481 0.173 1
Tb6 0.400 0.400 0.400 1
Tb7 0.400 0.400 0.799 1
Tb8 0.558 0.942 0.942 1
Tb9 0.558 0.942 0.558 1
Tb10 0.942 0.942 0.558 1
Zn3 0.481 0.173 0.173 1
Ru3 0.167 0.611 0.611 1
Tb11 0.188 0.812 0.812 1
Tb12 0.799 0.400 0.400 1
Tb13 0.812 0.812 0.188 1
Zn4 0.173 0.173 0.481 1
Tb14 0.942 0.558 0.942 1
Ru4 0.611 0.167 0.611 1
Tb15 0.558 0.558 0.942 1
Tb16 0.942 0.558 0.558 1
```

Computed properties:
The space group is F-43m (216). As for the density of states at the Fermi level: 28.00 states/eV/cell. The calculation puts the total energy at -5.14 eV per atom.

=====

Computed, not measured: an optimized crystal structure of Tb3Zn3Ru at the PBE-GGA level of DFT.

Geometry as CIF:
```
data_Tb3Zn3Ru
_chemical_formula_sum 'Tb6 Zn6 Ru2'
_cell_length_a 3.897
_cell_length_b 5.711
_cell_length_c 14.999
_cell_angle_alpha 81.74
_cell_angle_beta 82.54
_cell_angle_gamma 70.05
_space_group_name_H-M_alt 'P 1'
_space_group_IT_number 1
loop_
_space_group_symop_operation_xyz
'x,y,z'
loop_
_atom_site_label
_atom_site_fract_x
_atom_site_fract_y
_atom_site_fract_z
_atom_site_occupancy
Tb1 0.741 0.758 0.760 1
Tb2 0.477 0.660 0.385 1
Zn1 0.166 0.203 0.466 1
Ru1 0.782 0.068 0.368 1
Ru2 0.218 0.932 0.632 1
Tb3 0.259 0.242 0.240 1
Zn2 0.021 0.184 0.774 1
Zn3 0.101 0.873 0.924 1
Tb4 0.523 0.340 0.615 1
Zn4 0.834 0.797 0.534 1
Zn5 0.899 0.127 0.076 1
Tb5 0.621 0.682 0.077 1
Tb6 0.379 0.318 0.923 1
Zn6 0.979 0.816 0.226 1
```

Computed properties:
The space group is C2/m (12). As for the density of states at the Fermi level: 12.43 states/eV/cell. The calculation puts the total energy at -4.18 eV per atom.

=====

Computed, not measured: an optimized crystal structure of Tb2Zn6Ru at the PBE-GGA level of DFT.

Geometry as CIF:
```
data_Tb2Zn6Ru
_chemical_formula_sum 'Tb2 Zn6 Ru1'
_cell_length_a 5.652
_cell_length_b 5.665
_cell_length_c 5.828
_cell_angle_alpha 90.16
_cell_angle_beta 90.00
_cell_angle_gamma 119.92
_space_group_name_H-M_alt 'P 1'
_space_group_IT_number 1
loop_
_space_group_symop_operation_xyz
'x,y,z'
loop_
_atom_site_label
_atom_site_fract_x
_atom_site_fract_y
_atom_site_fract_z
_atom_site_occupancy
Zn1 0.176 0.824 0.331 1
Zn2 0.824 0.176 0.669 1
Zn3 0.823 0.647 0.669 1
Zn4 0.649 0.824 0.331 1
Zn5 0.177 0.353 0.331 1
Tb1 0.334 0.667 0.857 1
Tb2 0.666 0.333 0.143 1
Zn6 0.351 0.176 0.669 1
Ru1 0.000 0.000 0.000 1
```

Computed properties:
The space group is C2/m (12). As for the density of states at the Fermi level: 5.01 states/eV/cell. The calculation puts the total energy at -3.22 eV per atom.

=====

Computed, not measured: an optimized crystal structure of Tb6ZnRu5 at the PBE-GGA level of DFT.

Geometry as CIF:
```
data_Tb6ZnRu5
_chemical_formula_sum 'Tb6 Zn1 Ru5'
_cell_length_a 4.868
_cell_length_b 6.884
_cell_length_c 7.671
_cell_angle_alpha 90.00
_cell_angle_beta 108.45
_cell_angle_gamma 90.00
_space_group_name_H-M_alt 'P 1'
_space_group_IT_number 1
loop_
_space_group_symop_operation_xyz
'x,y,z'
loop_
_atom_site_label
_atom_site_fract_x
_atom_site_fract_y
_atom_site_fract_z
_atom_site_occupancy
Ru1 0.000 0.500 0.000 1
Tb1 0.170 0.747 0.340 1
Ru2 0.663 0.000 0.327 1
Tb2 0.500 0.259 0.000 1
Tb3 0.830 0.747 0.660 1
Tb4 0.830 0.253 0.660 1
Tb5 0.500 0.741 0.000 1
Tb6 0.170 0.253 0.340 1
Zn1 0.000 0.000 0.000 1
Ru3 0.337 0.000 0.673 1
Ru4 0.334 0.500 0.667 1
Ru5 0.666 0.500 0.333 1
```

Computed properties:
The space group is Cmmm (65). As for the density of states at the Fermi level: 5.87 states/eV/cell. The calculation puts the total energy at -6.63 eV per atom.

=====

Computed, not measured: an optimized crystal structure of Tb3ZnRu3 at the PBE-GGA level of DFT.

Geometry as CIF:
```
data_Tb3ZnRu3
_chemical_formula_sum 'Tb6 Zn2 Ru6'
_cell_length_a 4.308
_cell_length_b 5.548
_cell_length_c 13.300
_cell_angle_alpha 90.00
_cell_angle_beta 90.00
_cell_angle_gamma 112.85
_space_group_name_H-M_alt 'P 1'
_space_group_IT_number 1
loop_
_space_group_symop_operation_xyz
'x,y,z'
loop_
_atom_site_label
_atom_site_fract_x
_atom_site_fract_y
_atom_site_fract_z
_atom_site_occupancy
Tb1 0.796 0.592 0.104 1
Tb2 0.204 0.408 0.896 1
Ru1 0.917 0.833 0.593 1
Ru2 0.083 0.167 0.407 1
Zn1 0.500 0.000 0.500 1
Tb3 0.508 0.015 0.250 1
Tb4 0.492 0.985 0.750 1
Ru3 0.917 0.833 0.907 1
Ru4 0.214 0.428 0.250 1
Ru5 0.083 0.167 0.093 1
Zn2 0.500 0.000 0.000 1
Ru6 0.786 0.572 0.750 1
Tb5 0.796 0.592 0.396 1
Tb6 0.204 0.408 0.604 1
```

Computed properties:
The space group is Cmcm (63). As for the density of states at the Fermi level: 10.14 states/eV/cell. The calculation puts the total energy at -6.48 eV per atom.

=====

Computed, not measured: an optimized crystal structure of Tb2Zn15Ru2 at the PBE-GGA level of DFT.

Geometry as CIF:
```
data_Tb2Zn15Ru2
_chemical_formula_sum 'Tb2 Zn15 Ru2'
_cell_length_a 6.755
_cell_length_b 6.755
_cell_length_c 6.755
_cell_angle_alpha 83.27
_cell_angle_beta 83.27
_cell_angle_gamma 83.27
_space_group_name_H-M_alt 'P 1'
_space_group_IT_number 1
loop_
_space_group_symop_operation_xyz
'x,y,z'
loop_
_atom_site_label
_atom_site_fract_x
_atom_site_fract_y
_atom_site_fract_z
_atom_site_occupancy
Zn1 0.286 0.000 0.714 1
Zn2 0.000 0.000 0.500 1
Ru1 0.899 0.899 0.899 1
Tb1 0.668 0.668 0.668 1
Zn3 0.714 0.286 0.000 1
Zn4 0.000 0.714 0.286 1
Zn5 0.000 0.286 0.714 1
Zn6 0.850 0.351 0.351 1
Ru2 0.101 0.101 0.101 1
Zn7 0.649 0.150 0.649 1
Zn8 0.286 0.714 0.000 1
Zn9 0.351 0.850 0.351 1
Zn10 0.351 0.351 0.850 1
Zn11 0.000 0.500 0.000 1
Zn12 0.649 0.649 0.150 1
Zn13 0.500 0.000 0.000 1
Tb2 0.332 0.332 0.332 1
Zn14 0.150 0.649 0.649 1
Zn15 0.714 0.000 0.286 1
```

Computed properties:
The space group is R-3m (166). As for the density of states at the Fermi level: 6.00 states/eV/cell. The calculation puts the total energy at -2.68 eV per atom.

=====

Computed, not measured: an optimized crystal structure of TbZrZnRu at the PBE-GGA level of DFT.

Geometry as CIF:
```
data_TbZrZnRu
_chemical_formula_sum 'Tb1 Zr1 Zn1 Ru1'
_cell_length_a 4.814
_cell_length_b 4.814
_cell_length_c 4.814
_cell_angle_alpha 60.00
_cell_angle_beta 60.00
_cell_angle_gamma 60.00
_space_group_name_H-M_alt 'P 1'
_space_group_IT_number 1
loop_
_space_group_symop_operation_xyz
'x,y,z'
loop_
_atom_site_label
_atom_site_fract_x
_atom_site_fract_y
_atom_site_fract_z
_atom_site_occupancy
Zr1 0.250 0.250 0.250 1
Zn1 0.500 0.500 0.500 1
Ru1 0.000 0.000 0.000 1
Tb1 0.750 0.750 0.750 1
```

Computed properties:
The space group is F-43m (216). As for the density of states at the Fermi level: 2.99 states/eV/cell. The calculation puts the total energy at -6.25 eV per atom.

=====

Computed, not measured: an optimized crystal structure of TbZr2Ru at the PBE-GGA level of DFT.

Geometry as CIF:
```
data_TbZr2Ru
_chemical_formula_sum 'Tb1 Zr2 Ru1'
_cell_length_a 3.276
_cell_length_b 3.276
_cell_length_c 10.356
_cell_angle_alpha 80.90
_cell_angle_beta 80.90
_cell_angle_gamma 60.00
_space_group_name_H-M_alt 'P 1'
_space_group_IT_number 1
loop_
_space_group_symop_operation_xyz
'x,y,z'
loop_
_atom_site_label
_atom_site_fract_x
_atom_site_fract_y
_atom_site_fract_z
_atom_site_occupancy
Zr1 0.896 0.896 0.312 1
Tb1 0.000 0.000 0.000 1
Zr2 0.104 0.104 0.688 1
Ru1 0.500 0.500 0.500 1
```

Computed properties:
The space group is R-3m (166). As for the density of states at the Fermi level: 4.83 states/eV/cell. The calculation puts the total energy at -7.61 eV per atom.

=====

Computed, not measured: an optimized crystal structure of Tb2ZrRu at the PBE-GGA level of DFT.

Geometry as CIF:
```
data_Tb2ZrRu
_chemical_formula_sum 'Tb2 Zr1 Ru1'
_cell_length_a 3.302
_cell_length_b 3.302
_cell_length_c 10.698
_cell_angle_alpha 81.12
_cell_angle_beta 81.12
_cell_angle_gamma 60.00
_space_group_name_H-M_alt 'P 1'
_space_group_IT_number 1
loop_
_space_group_symop_operation_xyz
'x,y,z'
loop_
_atom_site_label
_atom_site_fract_x
_atom_site_fract_y
_atom_site_fract_z
_atom_site_occupancy
Ru1 0.500 0.500 0.500 1
Zr1 0.000 0.000 0.000 1
Tb1 0.899 0.899 0.304 1
Tb2 0.101 0.101 0.696 1
```

Computed properties:
The space group is R-3m (166). As for the density of states at the Fermi level: 6.62 states/eV/cell. The calculation puts the total energy at -6.51 eV per atom.

=====

Computed, not measured: an optimized crystal structure of Tc3Ru2 at the PBE-GGA level of DFT.

Geometry as CIF:
```
data_Tc3Ru2
_chemical_formula_sum 'Tc6 Ru4'
_cell_length_a 4.783
_cell_length_b 5.150
_cell_length_c 7.256
_cell_angle_alpha 66.22
_cell_angle_beta 70.76
_cell_angle_gamma 62.33
_space_group_name_H-M_alt 'P 1'
_space_group_IT_number 1
loop_
_space_group_symop_operation_xyz
'x,y,z'
loop_
_atom_site_label
_atom_site_fract_x
_atom_site_fract_y
_atom_site_fract_z
_atom_site_occupancy
Ru1 0.235 0.250 0.951 1
Tc1 0.164 0.750 0.250 1
Tc2 0.969 0.742 0.651 1
Tc3 0.031 0.258 0.349 1
Ru2 0.765 0.750 0.049 1
Tc4 0.362 0.758 0.849 1
Tc5 0.638 0.242 0.151 1
Tc6 0.836 0.250 0.750 1
Ru3 0.565 0.750 0.451 1
Ru4 0.435 0.250 0.549 1
```

Computed properties:
The space group is C2/c (15). As for the density of states at the Fermi level: 7.88 states/eV/cell. The calculation puts the total energy at -9.99 eV per atom.

=====

Computed, not measured: an optimized crystal structure of TcRu2 at the PBE-GGA level of DFT.

Geometry as CIF:
```
data_TcRu2
_chemical_formula_sum 'Tc2 Ru4'
_cell_length_a 5.014
_cell_length_b 5.014
_cell_length_c 5.014
_cell_angle_alpha 60.00
_cell_angle_beta 60.00
_cell_angle_gamma 60.00
_space_group_name_H-M_alt 'P 1'
_space_group_IT_number 1
loop_
_space_group_symop_operation_xyz
'x,y,z'
loop_
_atom_site_label
_atom_site_fract_x
_atom_site_fract_y
_atom_site_fract_z
_atom_site_occupancy
Tc1 0.000 0.000 0.000 1
Tc2 0.250 0.250 0.250 1
Ru1 0.625 0.125 0.625 1
Ru2 0.625 0.625 0.625 1
Ru3 0.625 0.625 0.125 1
Ru4 0.125 0.625 0.625 1
```

Computed properties:
The space group is Fd-3m (227). As for the density of states at the Fermi level: 12.45 states/eV/cell. The calculation puts the total energy at -9.15 eV per atom.

=====

Computed, not measured: an optimized crystal structure of Tc3Ru5 at the PBE-GGA level of DFT.

Geometry as CIF:
```
data_Tc3Ru5
_chemical_formula_sum 'Tc6 Ru10'
_cell_length_a 8.464
_cell_length_b 8.471
_cell_length_c 4.867
_cell_angle_alpha 90.00
_cell_angle_beta 90.00
_cell_angle_gamma 43.33
_space_group_name_H-M_alt 'P 1'
_space_group_IT_number 1
loop_
_space_group_symop_operation_xyz
'x,y,z'
loop_
_atom_site_label
_atom_site_fract_x
_atom_site_fract_y
_atom_site_fract_z
_atom_site_occupancy
Ru1 0.357 0.357 0.500 1
Ru2 0.643 0.643 0.500 1
Ru3 0.842 0.158 0.250 1
Tc1 0.413 0.587 0.250 1
Ru4 0.357 0.357 0.000 1
Tc2 0.417 0.017 0.750 1
Ru5 0.004 0.755 0.250 1
Ru6 0.755 0.006 0.750 1
Ru7 0.643 0.643 0.000 1
Ru8 0.158 0.842 0.750 1
Ru9 0.245 0.994 0.250 1
Ru10 0.996 0.245 0.750 1
Tc3 0.587 0.413 0.750 1
Tc4 0.583 0.983 0.250 1
Tc5 0.981 0.584 0.750 1
Tc6 0.019 0.416 0.250 1
```

Computed properties:
The space group is P2_1/m (11). As for the density of states at the Fermi level: 16.75 states/eV/cell. The calculation puts the total energy at -9.36 eV per atom.